Record 1
# PBE-GGA Rb3Cu2PdF9, relaxed
# - total DFT energy (no corrections) (eV per atom) = -4.224
data_Rb3Cu2PdF9
_chemical_formula_sum 'Rb3 Cu2 Pd1 F9'
_cell_length_a 5.9451
_cell_length_b 5.9451
_cell_length_c 7.2815
_cell_angle_alpha 90.00
_cell_angle_beta 90.00
_cell_angle_gamma 120.00
_symmetry_space_group_name_H-M 'P -3 m 1'
_symmetry_Int_Tables_number 164
_symmetry_space_group_name_Hall '-P 3 2"'
loop_
_atom_site_label
_atom_site_fract_x
_atom_site_fract_y
_atom_site_fract_z
Rb1 0.0000 0.0000 0.0000
Rb2 0.3333 0.6667 0.6698
Cu1 0.3333 0.6667 0.1596
Pd1 0.0000 0.0000 0.5000
F1 0.0000 0.5000 0.0000
F2 0.1709 0.3419 0.3280



Record 2
# PBE-GGA RbCuPd2F8, relaxed
# - total DFT energy (no corrections) (eV per atom) = -4.090
data_RbCuPd2F8
_chemical_formula_sum 'Rb1 Cu1 Pd2 F8'
_cell_length_a 5.038
_cell_length_b 5.044
_cell_length_c 7.885
_cell_angle_alpha 85.47
_cell_angle_beta 89.18
_cell_angle_gamma 82.64
_symmetry_space_group_name_H-M 'P -1'
_symmetry_Int_Tables_number 2
_symmetry_space_group_name_Hall '-P 1'
loop_
_atom_site_label
_atom_site_fract_x
_atom_site_fract_y
_atom_site_fract_z
Rb1 0.000 0.000 0.000
Cu1 0.000 0.000 0.500
Pd1 0.462 0.473 0.312
F1 0.142 0.746 0.322
F2 0.201 0.783 0.695
F3 0.299 0.219 0.477
F4 0.402 0.298 0.871



Record 3
# PBE-GGA Cu2PdRhF, relaxed
# - total DFT energy (no corrections) (eV per atom) = -3.587
data_Cu2PdRhF
_chemical_formula_sum 'Cu2 Pd1 Rh1 F1'
_cell_length_a 4.680
_cell_length_b 4.680
_cell_length_c 4.798
_cell_angle_alpha 90.00
_cell_angle_beta 90.00
_cell_angle_gamma 90.00
_symmetry_space_group_name_H-M 'P 4/m m m'
_symmetry_Int_Tables_number 123
_symmetry_space_group_name_Hall '-P 4 2'
loop_
_atom_site_label
_atom_site_fract_x
_atom_site_fract_y
_atom_site_fract_z
Cu1 0.000 0.500 0.000
Pd1 0.000 0.000 0.000
Rh1 0.000 0.000 0.500
F1 0.500 0.500 0.500



Record 4
# PBE-GGA CuPdRhF2, relaxed
# - total DFT energy (no corrections) (eV per atom) = -4.277
data_CuPdRhF2
_chemical_formula_sum 'Cu1 Pd1 Rh1 F2'
_cell_length_a 3.735
_cell_length_b 3.735
_cell_length_c 5.535
_cell_angle_alpha 90.00
_cell_angle_beta 90.00
_cell_angle_gamma 90.00
_symmetry_space_group_name_H-M 'P 4/m m m'
_symmetry_Int_Tables_number 123
_symmetry_space_group_name_Hall '-P 4 2'
loop_
_atom_site_label
_atom_site_fract_x
_atom_site_fract_y
_atom_site_fract_z
Cu1 0.000 0.000 0.000
Pd1 0.500 0.500 0.500
Rh1 0.000 0.000 0.500
F1 0.000 0.500 0.000



Record 5
# PBE-GGA Sc2CuPdF, relaxed
# - total DFT energy (no corrections) (eV per atom) = -5.046
data_Sc2CuPdF
_chemical_formula_sum 'Sc2 Cu1 Pd1 F1'
_cell_length_a 4.987
_cell_length_b 4.987
_cell_length_c 4.690
_cell_angle_alpha 90.00
_cell_angle_beta 90.00
_cell_angle_gamma 90.00
_symmetry_space_group_name_H-M 'P 4/m m m'
_symmetry_Int_Tables_number 123
_symmetry_space_group_name_Hall '-P 4 2'
loop_
_atom_site_label
_atom_site_fract_x
_atom_site_fract_y
_atom_site_fract_z
Sc1 0.000 0.500 0.000
Cu1 0.000 0.000 0.500
Pd1 0.000 0.000 0.000
F1 0.500 0.500 0.500



Record 6
# PBE-GGA SrCuPd2F8, relaxed
# - total DFT energy (no corrections) (eV per atom) = -4.253
data_SrCuPd2F8
_chemical_formula_sum 'Sr1 Cu1 Pd2 F8'
_cell_length_a 6.3418
_cell_length_b 6.3418
_cell_length_c 6.5435
_cell_angle_alpha 90.00
_cell_angle_beta 90.00
_cell_angle_gamma 120.00
_symmetry_space_group_name_H-M 'P -3 m 1'
_symmetry_Int_Tables_number 164
_symmetry_space_group_name_Hall '-P 3 2"'
loop_
_atom_site_label
_atom_site_fract_x
_atom_site_fract_y
_atom_site_fract_z
Sr1 0.0000 0.0000 0.0000
Cu1 0.0000 0.0000 0.5000
Pd1 0.3333 0.6667 0.2507
F1 0.1412 0.2824 0.3002
F2 0.3333 0.6667 0.9381



Record 7
# PBE-GGA TiCuPd2F, relaxed
# - total DFT energy (no corrections) (eV per atom) = -4.998
data_TiCuPd2F
_chemical_formula_sum 'Ti1 Cu1 Pd2 F1'
_cell_length_a 4.590
_cell_length_b 4.590
_cell_length_c 3.740
_cell_angle_alpha 90.00
_cell_angle_beta 90.00
_cell_angle_gamma 90.00
_symmetry_space_group_name_H-M 'P 4/m m m'
_symmetry_Int_Tables_number 123
_symmetry_space_group_name_Hall '-P 4 2'
loop_
_atom_site_label
_atom_site_fract_x
_atom_site_fract_y
_atom_site_fract_z
Ti1 0.000 0.000 0.000
Cu1 0.500 0.500 0.000
Pd1 0.000 0.500 0.500
F1 0.000 0.000 0.500



Record 8
# PBE-GGA TlCuPdF6, relaxed
# - total DFT energy (no corrections) (eV per atom) = -3.986
data_TlCuPdF6
_chemical_formula_sum 'Tl2 Cu2 Pd2 F12'
_cell_length_a 5.075
_cell_length_b 5.075
_cell_length_c 10.337
_cell_angle_alpha 90.00
_cell_angle_beta 90.00
_cell_angle_gamma 90.00
_symmetry_space_group_name_H-M 'P 42 n m'
_symmetry_Int_Tables_number 102
_symmetry_space_group_name_Hall 'P 4n -2n'
loop_
_atom_site_label
_atom_site_fract_x
_atom_site_fract_y
_atom_site_fract_z
Tl1 0.000 0.000 0.000
Cu1 0.000 0.000 0.333
Pd1 0.000 0.000 0.670
F1 0.184 0.184 0.494
F2 0.193 0.193 0.178
F3 0.213 0.213 0.832



Please write out number 3 again, unchanged.
# PBE-GGA Cu2PdRhF, relaxed
# - total DFT energy (no corrections) (eV per atom) = -3.587
data_Cu2PdRhF
_chemical_formula_sum 'Cu2 Pd1 Rh1 F1'
_cell_length_a 4.680
_cell_length_b 4.680
_cell_length_c 4.798
_cell_angle_alpha 90.00
_cell_angle_beta 90.00
_cell_angle_gamma 90.00
_symmetry_space_group_name_H-M 'P 4/m m m'
_symmetry_Int_Tables_number 123
_symmetry_space_group_name_Hall '-P 4 2'
loop_
_atom_site_label
_atom_site_fract_x
_atom_site_fract_y
_atom_site_fract_z
Cu1 0.000 0.500 0.000
Pd1 0.000 0.000 0.000
Rh1 0.000 0.000 0.500
F1 0.500 0.500 0.500



Which of these has the highest total DFT energy (no corrections)?
Cu2PdRhF